(1)
This record from Alexandria via LeMat-Bulk describes a geometry-optimized KBa2Nb3O9 structure. The functional is GGA-PBEsol.

```
15
Lattice="5.7662 0.0000 0.0000 -2.8831 4.9937 0.0000 0.0000 0.0000 7.0680" Properties=species:S:1:pos:R:3 pbc="T T T"
K 0.0000 0.0000 0.0000
Ba 0.0000 3.3291 4.7429
Ba 2.8831 1.6646 2.3251
Nb 0.0000 0.0000 3.5340
Nb 0.0000 3.3291 1.1593
Nb 2.8831 1.6646 5.9087
O -1.4416 2.4968 0.0000
O 0.0000 1.6772 2.3741
O -1.4306 4.1551 2.3741
O 1.4525 0.8386 4.6939
O 2.8831 0.0000 0.0000
O 1.4416 2.4968 0.0000
O 1.4306 4.1551 2.3741
O 4.3137 0.8386 4.6939
O 2.8831 3.3165 4.6939
```

space group	No. 164
size of the total moment	0.00	μB/cell
ρ	6.0	g/cm³
energy relative to the elements, uncorrected	-2.73	eV per atom

(2)
This record from Alexandria via LeMat-Bulk describes a geometry-optimized K2BaNbOs structure. The functional is GGA-PBEsol.

```
5
Lattice="6.0709 0.0000 0.0000 0.0000 6.0709 0.0000 0.0000 0.0000 5.4201" Properties=species:S:1:pos:R:3 pbc="T T T"
K 0.0000 3.0355 0.0000
K 3.0355 0.0000 0.0000
Ba 0.0000 0.0000 2.7100
Nb 3.0355 3.0355 2.7100
Os 0.0000 0.0000 0.0000
```

space group	No. 123
size of the total moment	5.57	μB/cell
ρ	4.1	g/cm³

(3)
This record from Alexandria via LeMat-Bulk describes a geometry-optimized KBaNbS4 structure. The functional is GGA-PBEsol.

```
28
Lattice="9.1950 0.0000 0.0000 0.0000 6.8607 0.0000 0.0000 0.0000 12.4637" Properties=species:S:1:pos:R:3 pbc="T T T"
K 1.2508 1.7152 1.0094
K 3.3467 5.1455 7.2413
K 5.8483 1.7152 5.2224
K 7.9442 5.1455 11.4542
Ba 0.2237 5.1455 4.0737
Ba 4.3738 1.7152 10.3055
Ba 4.8212 5.1455 2.1581
Ba 8.9713 1.7152 8.3899
Nb 2.1342 1.7152 5.2837
Nb 2.4633 5.1455 11.5155
Nb 6.7317 1.7152 0.9482
Nb 7.0608 5.1455 7.1800
S 0.1431 5.1455 7.3278
S 1.6019 0.0958 10.4840
S 1.6019 3.3345 10.4840
S 1.7903 5.1455 1.2280
S 2.8072 1.7152 7.4598
S 2.9956 3.5261 4.2522
S 2.9956 6.7649 4.2522
S 4.4544 1.7152 1.0960
S 4.7406 5.1455 11.3677
S 6.1994 0.0958 8.2115
S 6.1994 3.3345 8.2115
S 6.3878 5.1455 5.0038
S 7.4047 1.7152 11.2357
S 7.5931 3.5261 1.9797
S 7.5931 6.7649 1.9797
S 9.0519 1.7152 5.1358
```

space group	No. 62
size of the total moment	0.00	μB/cell
ρ	3.4	g/cm³
energy relative to the elements, uncorrected	-1.41	eV per atom

no.,E_tot (eV per formula unit)
1,-126.12
2,-17.57
3,-41.49